[1]
Computed, not measured: a relaxed structure of Sc2ZnCoC at the GGA-PBE level of DFT.

E_tot, eV per atom: -6.48
SG: P4/mmm, No. 123

Cell: 4.5758 4.5758 3.6253 Å, 90.00 90.00 90.00°
Element x y z (fractional)
Zn  0.5000  0.5000  0.5000
Co  0.0000  0.0000  0.5000
Sc  0.5000  0.0000  0.0000
Sc  0.0000  0.5000  0.0000
C  0.0000  0.0000  0.0000

---

[2]
Computed, not measured: a relaxed structure of ScSb2P at the GGA-PBE level of DFT.

E_tot, eV per atom: -5.27
SG: Immm, No. 71

Cell: 5.6125 5.6125 5.6125 Å, 140.48 127.84 67.37°
Element x y z (fractional)
Sb  0.7193  0.7193  0.0000
Sc  0.0000  0.5000  0.5000
Sb  0.2807  0.2807  0.0000
P  0.5000  0.0000  0.5000

---

[3]
Computed, not measured: a relaxed structure of MnBeSi2 at the GGA-PBE level of DFT.

E_tot, eV per atom: -5.83
SG: P4/mmm, No. 123

Cell: 2.5471 2.5471 7.0995 Å, 90.00 90.00 90.00°
Last column: magnetic moment on the atom in μB.
Element x y z (fractional)
Be  0.5000  0.5000  0.2500  -0.01
Mn  0.5000  0.5000  0.7500  1.82
Si  0.0000  0.0000  0.9974  -0.03
Si  0.0000  0.0000  0.5026  -0.03

---

[4]
Computed, not measured: a relaxed structure of Sr2ZrHg at the GGA-PBE level of DFT.

E_tot, eV per atom: -2.92
SG: P4/mmm, No. 123

Cell: 3.6479 3.6479 9.7101 Å, 90.00 90.00 90.00°
Element x y z (fractional)
Hg  0.5000  0.5000  0.7500
Sr  0.0000  0.0000  0.9834
Sr  0.0000  0.0000  0.5166
Zr  0.5000  0.5000  0.2500

---

[5]
Computed, not measured: a relaxed structure of Ac6DyEr2 at the GGA-PBE level of DFT.

E_tot, eV per atom: -4.11
SG: C2/c, No. 15

Cell: 7.9895 7.9895 12.0960 Å, 82.27 82.27 103.57°
Element x y z (fractional)
Er  0.3860  0.4291  0.6552
Ac  0.3223  0.7905  0.0529
Ac  0.6777  0.2095  0.9471
Er  0.6140  0.5709  0.3448
Ac  0.8173  0.7744  0.0389
Ac  0.0274  0.5858  0.7758
Ac  0.7905  0.3223  0.5529
Ac  0.2095  0.6777  0.4471
Ac  0.4142  0.9726  0.7242
Ac  0.2256  0.1827  0.4611
Ac  0.9726  0.4142  0.2242
Ac  0.1827  0.2256  0.9611
Dy  0.0386  0.9614  0.2500
Er  0.4291  0.3860  0.1552
Ac  0.7744  0.8173  0.5389
Er  0.5709  0.6140  0.8448
Dy  0.9614  0.0386  0.7500
Ac  0.5858  0.0274  0.2758

---

[6]
Computed, not measured: a relaxed structure of TeIrRh2 at the GGA-PBE level of DFT.

E_tot, eV per atom: -6.48
SG: Pmmm, No. 47

Cell: 2.9748 3.8356 5.7329 Å, 90.00 90.00 90.00°
Element x y z (fractional)
Rh  0.0000  0.0000  0.2688
Rh  0.0000  0.0000  0.7312
Ir  0.5000  0.5000  0.5000
Te  0.5000  0.5000  0.0000

---

[7]
Computed, not measured: a relaxed structure of Er7ZrSc12 at the GGA-PBE level of DFT.

E_tot, eV per atom: -5.58
SG: R-3, No. 148

Cell: 8.1945 8.1945 8.1945 Å, 89.48 89.48 89.48°
Element x y z (fractional)
Er  0.5000  0.5000  0.5000
Sc  0.7397  0.8637  0.2793
Sc  0.2793  0.7397  0.8637
Sc  0.7207  0.2603  0.1363
Sc  0.4958  0.6184  0.1432
Sc  0.3816  0.8568  0.5042
Sc  0.2603  0.1363  0.7207
Er  0.1572  0.3804  0.0447
Sc  0.8637  0.2793  0.7397
Sc  0.6184  0.1432  0.4958
Sc  0.8568  0.5042  0.3816
Sc  0.5042  0.3816  0.8568
Sc  0.1363  0.7207  0.2603
Er  0.9553  0.8428  0.6196
Er  0.6196  0.9553  0.8428
Er  0.8428  0.6196  0.9553
Zr  0.0000  0.0000  0.0000
Er  0.0447  0.1572  0.3804
Er  0.3804  0.0447  0.1572
Sc  0.1432  0.4958  0.6184

---

[8]
Computed, not measured: a relaxed structure of Ba5Tl3 at the GGA-PBE level of DFT.

Polymorph energy (0 for the lowest one), meV per atom: 57
E_tot, eV per atom: -2.36
SG: I4/mcm, No. 140

Cell: 10.6544 10.6543 10.6579 Å, 96.15 96.15 141.78°
Element x y z (fractional)
Tl  0.1580  0.6584  0.8173
Tl  0.3407  0.1586  0.5000
Ba  0.2859  0.4146  0.7007
Tl  0.2498  0.2502  0.0000
Tl  0.6581  0.8412  0.5000
Ba  0.7135  0.5857  0.2993
Ba  0.7860  0.0856  0.8717
Tl  0.7498  0.7501  0.0000
Ba  0.2135  0.9146  0.1283
Ba  0.0852  0.2139  0.2993
Ba  0.7493  0.2498  0.5001
Ba  0.5853  0.2863  0.8716
Ba  0.2493  0.7497  0.4999
Tl  0.8407  0.3412  0.1827
Ba  0.9141  0.7864  0.7007
Ba  0.4142  0.7139  0.1283

---

no.,M_tot (μB/cell),calculated density (g cm⁻³)
1,0.0,4.950
2,0.0,6.064
3,1.8,4.331
4,0.0,6.002
5,0.0,8.428
6,0.0,13.343
7,0.0,5.437
8,0.0,6.103